No. 1
LaHfCl2 (SCAN, PBEsol geometry); V = 389.7 Å³/cell; space-group type = I-42d; formation energy from raw total energies = -0.92 eV/atom
1.0
4.723 0.000 0.000
0.000 4.723 0.000
0.000 0.000 17.470
La Hf Cl
4 4 8
Direct
0.000 0.000 0.000 La
0.000 0.500 0.250 La
0.500 0.000 0.750 La
0.500 0.500 0.500 La
0.000 0.000 0.500 Hf
0.000 0.500 0.750 Hf
0.500 0.000 0.250 Hf
0.500 0.500 0.000 Hf
0.209 0.250 0.625 Cl
0.250 0.709 0.875 Cl
0.250 0.791 0.375 Cl
0.291 0.250 0.125 Cl
0.709 0.750 0.125 Cl
0.750 0.209 0.375 Cl
0.750 0.291 0.875 Cl
0.791 0.750 0.625 Cl


No. 2
LiHf2Cl (SCAN, PBEsol geometry); V = 280.9 Å³/cell; space-group type = Fm-3m; formation energy from raw total energies = 0.30 eV/atom
1.0
6.549 0.000 0.000
0.000 6.549 0.000
0.000 0.000 6.549
Li Hf Cl
4 8 4
Direct
0.000 0.000 0.000 Li
0.000 0.500 0.500 Li
0.500 0.000 0.500 Li
0.500 0.500 0.000 Li
0.250 0.250 0.250 Hf
0.250 0.250 0.750 Hf
0.250 0.750 0.250 Hf
0.250 0.750 0.750 Hf
0.750 0.250 0.250 Hf
0.750 0.250 0.750 Hf
0.750 0.750 0.250 Hf
0.750 0.750 0.750 Hf
0.000 0.000 0.500 Cl
0.000 0.500 0.000 Cl
0.500 0.000 0.000 Cl
0.500 0.500 0.500 Cl


No. 3
Li3HfCl (SCAN, PBEsol geometry); V = 94.3 Å³/cell; space-group type = Pm-3m; formation energy from raw total energies = 0.12 eV/atom
1.0
4.552 0.000 0.000
0.000 4.552 0.000
0.000 0.000 4.552
Li Hf Cl
3 1 1
Direct
0.000 0.000 0.500 Li
0.000 0.500 0.000 Li
0.500 0.000 0.000 Li
0.500 0.500 0.500 Hf
0.000 0.000 0.000 Cl


No. 4
LiHfCl2 (SCAN, PBEsol geometry); V = 229.3 Å³/cell; space-group type = R-3m; formation energy from raw total energies = -1.27 eV/atom
1.0
3.348 0.000 0.000
-1.674 2.900 0.000
0.000 0.000 23.616
Li Hf Cl
3 3 6
Direct
0.000 0.000 0.000 Li
0.333 0.667 0.667 Li
0.667 0.333 0.333 Li
0.000 0.000 0.500 Hf
0.333 0.667 0.167 Hf
0.667 0.333 0.833 Hf
0.000 0.000 0.396 Cl
0.000 0.000 0.604 Cl
0.333 0.667 0.062 Cl
0.333 0.667 0.271 Cl
0.667 0.333 0.729 Cl
0.667 0.333 0.938 Cl


No. 5
LiHfP2Cl (SCAN, PBEsol geometry); V = 81.5 Å³/cell; space-group type = P4/mmm; formation energy from raw total energies = 0.16 eV/atom
1.0
4.370 0.000 0.000
0.000 4.370 0.000
0.000 0.000 4.267
Li Hf P Cl
1 1 2 1
Direct
0.000 0.000 0.000 Li
0.500 0.500 0.500 Hf
0.000 0.500 0.000 P
0.500 0.000 0.000 P
0.000 0.000 0.500 Cl


No. 6
LiHfP2Cl (SCAN, PBEsol geometry); V = 123.1 Å³/cell; space-group type = P4/mmm; formation energy from raw total energies = -0.52 eV/atom
1.0
4.934 0.000 0.000
0.000 4.934 0.000
0.000 0.000 5.058
Li Hf P Cl
1 1 2 1
Direct
0.000 0.000 0.000 Li
0.500 0.500 0.500 Hf
0.000 0.500 0.500 P
0.500 0.000 0.500 P
0.500 0.500 0.000 Cl


No. 7
LiHfRuCl2 (SCAN, PBEsol geometry); V = 119.6 Å³/cell; space-group type = P4/mmm; formation energy from raw total energies = -0.24 eV/atom
1.0
4.938 0.000 0.000
0.000 4.938 0.000
0.000 0.000 4.907
Li Hf Ru Cl
1 1 1 2
Direct
0.000 0.000 0.000 Li
0.500 0.500 0.500 Hf
0.500 0.500 0.000 Ru
0.000 0.500 0.500 Cl
0.500 0.000 0.500 Cl


No. 8
LiY2HfCl (SCAN, PBEsol geometry); V = 148.6 Å³/cell; space-group type = P4/mmm; formation energy from raw total energies = 0.67 eV/atom
1.0
5.553 0.000 0.000
0.000 5.553 0.000
0.000 0.000 4.818
Li Y Hf Cl
1 2 1 1
Direct
0.000 0.000 0.000 Li
0.000 0.500 0.500 Y
0.500 0.000 0.500 Y
0.000 0.000 0.500 Hf
0.500 0.500 0.000 Cl


No. 9
HfMgCl2 (SCAN, PBEsol geometry); V = 238.1 Å³/cell; space-group type = R-3m; formation energy from raw total energies = -0.81 eV/atom
1.0
3.307 0.000 0.000
-1.654 2.864 0.000
0.000 0.000 25.133
Hf Mg Cl
3 3 6
Direct
0.000 0.000 0.000 Hf
0.333 0.667 0.667 Hf
0.667 0.333 0.333 Hf
0.000 0.000 0.500 Mg
0.333 0.667 0.167 Mg
0.667 0.333 0.833 Mg
0.000 0.000 0.106 Cl
0.000 0.000 0.894 Cl
0.333 0.667 0.560 Cl
0.333 0.667 0.773 Cl
0.667 0.333 0.227 Cl
0.667 0.333 0.440 Cl


No. 10
HfMg2Cl (SCAN, PBEsol geometry); V = 369.9 Å³/cell; space-group type = Fm-3m; formation energy from raw total energies = 0.53 eV/atom
1.0
7.178 0.000 0.000
0.000 7.178 0.000
0.000 0.000 7.178
Hf Mg Cl
4 8 4
Direct
0.000 0.000 0.000 Hf
0.000 0.500 0.500 Hf
0.500 0.000 0.500 Hf
0.500 0.500 0.000 Hf
0.250 0.250 0.250 Mg
0.250 0.250 0.750 Mg
0.250 0.750 0.250 Mg
0.250 0.750 0.750 Mg
0.750 0.250 0.250 Mg
0.750 0.250 0.750 Mg
0.750 0.750 0.250 Mg
0.750 0.750 0.750 Mg
0.000 0.000 0.500 Cl
0.000 0.500 0.000 Cl
0.500 0.000 0.000 Cl
0.500 0.500 0.500 Cl


No. 11
HfMgP2Cl (SCAN, PBEsol geometry); V = 100.1 Å³/cell; space-group type = P4/mmm; formation energy from raw total energies = 0.28 eV/atom
1.0
4.760 0.000 0.000
0.000 4.760 0.000
0.000 0.000 4.417
Hf Mg P Cl
1 1 2 1
Direct
0.000 0.000 0.000 Hf
0.500 0.500 0.500 Mg
0.000 0.500 0.500 P
0.500 0.000 0.500 P
0.500 0.500 0.000 Cl


No. 12
Hf2MnCl (SCAN, PBEsol geometry); V = 269.4 Å³/cell; space-group type = Fm-3m; formation energy from raw total energies = 0.16 eV/atom
1.0
6.458 0.000 0.000
0.000 6.458 0.000
0.000 0.000 6.458
Hf Mn Cl
8 4 4
Direct
0.250 0.250 0.250 Hf
0.250 0.250 0.750 Hf
0.250 0.750 0.250 Hf
0.250 0.750 0.750 Hf
0.750 0.250 0.250 Hf
0.750 0.250 0.750 Hf
0.750 0.750 0.250 Hf
0.750 0.750 0.750 Hf
0.000 0.000 0.000 Mn
0.000 0.500 0.500 Mn
0.500 0.000 0.500 Mn
0.500 0.500 0.000 Mn
0.000 0.000 0.500 Cl
0.000 0.500 0.000 Cl
0.500 0.000 0.000 Cl
0.500 0.500 0.500 Cl